Compound: LaZrSi2O8
Source: Alexandria via LeMat-Bulk
Functional: PBE
Structure: relaxed

Values from the calculation:
SG ... I-4m2
Calculated volume ... 12.71 Å³/atom
Energy relative to the elements, uncorrected ... -277 kJ per mole of atoms
Uncorrected energy ... -8.20 eV/atom
Crystal system ... tetragonal

a = 5.8461 Å, b = 5.8461 Å, c = 5.8461 Å
α = 106.52°, β = 106.52°, γ = 115.55°
With the nearest neighbours (Å) after each atom.
Positions (direct):
La1 0.0000 0.0000 0.0000  8 O 2.35-2.51
Zr1 0.2500 0.7500 0.5000  8 O 2.24-2.31
Si1 0.7500 0.2500 0.5000  4 O 1.64
Si2 0.5000 0.5000 0.0000  4 O 1.66
O1 0.3990 0.0679 0.3312  1 Si 1.64
O2 0.3408 0.5308 0.1900  1 Si 1.66
O3 0.3408 0.1508 0.8100  1 Si 1.66
O4 0.7367 0.0679 0.6688  1 Si 1.64
O5 0.8492 0.6592 0.1900  1 Si 1.66
O6 0.9321 0.2633 0.3312  1 Si 1.64
O7 0.9321 0.6010 0.6688  1 Si 1.64
O8 0.4692 0.6592 0.8100  1 Si 1.66

Compound: Nb2GaSiTc
Source: Alexandria via LeMat-Bulk
Functional: PBE
Structure: relaxed

Values from the calculation:
SG ... P4/mmm
Calculated volume ... 19.14 Å³/atom
Energy relative to the elements, uncorrected ... 60 kJ per mole of atoms
Uncorrected energy ... -7.17 eV/atom
Crystal system ... tetragonal

a = 4.6761 Å, b = 4.3761 Å, c = 4.6761 Å
α = 90.00°, β = 90.00°, γ = 90.00°
With the nearest neighbours (Å) after each atom.
Positions (direct):
Nb1 0.0000 0.0000 0.5000  2 Si 2.34
Nb2 0.5000 0.0000 0.0000  2 Si 2.34
Si1 0.0000 0.0000 0.0000  2 Tc 2.19, 4 Nb 2.34
Tc1 0.0000 0.5000 0.0000  2 Si 2.19
Ga1 0.5000 0.5000 0.5000  8 Nb 3.20, 4 Tc 3.31

Compound: LiZn2Cd2
Source: Alexandria via LeMat-Bulk
Functional: PBE
Structure: relaxed

Values from the calculation:
SG ... I4/mmm
Calculated volume ... 19.78 Å³/atom
Calculated formation energy ... -0.02 eV per atom
Uncorrected energy ... -1.28 eV/atom
Crystal system ... tetragonal
E above lowest polymorph ... 66 meV per atom

a = 3.7421 Å, b = 3.7421 Å, c = 7.5404 Å
α = 75.63°, β = 75.63°, γ = 90.00°
With the nearest neighbours (Å) after each atom.
Positions (direct):
Zn1 0.7500 0.2500 0.5000  4 Zn 2.65, 4 Cd 2.83
Zn2 0.2500 0.7500 0.5000  4 Zn 2.65, 4 Cd 2.83
Li1 0.0000 0.0000 0.0000  8 Cd 3.00
Cd1 0.4004 0.4004 0.1992  1 Cd 2.81, 4 Zn 2.83, 4 Li 3.00
Cd2 0.5996 0.5996 0.8008  1 Cd 2.81, 4 Zn 2.83, 4 Li 3.00

Compound: Li3Dy3TmTe8
Source: Alexandria via LeMat-Bulk
Functional: PBE
Structure: relaxed

Values from the calculation:
SG ... R-3m
Calculated volume ... 30.29 Å³/atom
Energy relative to the elements, uncorrected ... -119 kJ per mole of atoms
Uncorrected energy ... -4.51 eV/atom
Crystal system ... trigonal

a = 8.6130 Å, b = 8.6123 Å, c = 8.6484 Å
α = 119.89°, β = 90.00°, γ = 120.00°
With the nearest neighbours (Å) after each atom.
Positions (direct):
Li1 0.0000 0.0000 0.0000  6 Te 3.02-3.03
Li2 0.0000 0.5000 0.0000  6 Te 3.02-3.03
Li3 0.5000 0.5000 0.0000  6 Te 3.02-3.03
Dy1 0.5000 0.0000 0.5000  6 Te 3.07-3.08
Dy2 0.5000 0.5000 0.5000  6 Te 3.07-3.08
Dy3 0.0000 0.5000 0.5000  6 Te 3.07-3.08
Tm1 0.0000 0.0000 0.5000  6 Te 3.06
Te1 0.2474 0.4948 0.2424  3 Li 3.02, 3 Dy 3.08
Te2 0.7526 0.5052 0.7576  3 Li 3.02, 3 Dy 3.08
Te3 0.7494 0.4989 0.2460  2 Li 3.03, 1 Tm 3.06, 2 Dy 3.07
Te4 0.2506 0.5011 0.7540  2 Li 3.03, 1 Tm 3.06, 2 Dy 3.07
Te5 0.7495 0.9963 0.2461  2 Li 3.03, 1 Tm 3.06, 2 Dy 3.07
Te6 0.2505 0.0037 0.7539  2 Li 3.03, 1 Tm 3.06, 2 Dy 3.07
Te7 0.2468 0.9963 0.2461  2 Li 3.03, 1 Tm 3.06, 2 Dy 3.07
Te8 0.7532 0.0037 0.7539  2 Li 3.03, 1 Tm 3.06, 2 Dy 3.07